Record 1
Nd4SbPb2Se | PBE | relaxed

Calculated values
**Crystal system**: monoclinic
**Space group**: P2/m

Cell: 4.3722 8.0547 7.6204 Å, 71.70 90.00 90.00°
Last column: nearest neighbours and their distance in Å.
Positions (direct):
Nd: 0.5000 0.2650 0.7399  2 Se 3.09, 1 Sb 3.14, 3 Pb 3.22-3.26
Sb: 0.5000 0.5000 0.0000  6 Nd 3.13-3.14
Nd: 0.0000 0.7381 0.7488  1 Se 3.09, 2 Sb 3.13, 3 Pb 3.21-3.26
Nd: 0.0000 0.2619 0.2512  1 Se 3.09, 2 Sb 3.13, 3 Pb 3.21-3.26
Pb: 0.0000 0.0000 0.0000  6 Nd 3.26
Se: 0.0000 0.5000 0.5000  6 Nd 3.09
Nd: 0.5000 0.7350 0.2601  2 Se 3.09, 1 Sb 3.14, 3 Pb 3.22-3.26
Pb: 0.5000 0.0000 0.5000  6 Nd 3.21-3.22

=====

Record 2
CsCeScSe3 | PBE | relaxed

Calculated values
**Crystal system**: monoclinic
**Space group**: P2_1/m

Cell: 4.5187 9.7552 10.6020 Å, 109.40 90.00 90.00°
Last column: nearest neighbours and their distance in Å.
Positions (direct):
Se: 0.7500 0.4713 0.1522  3 Ce 2.93-2.98
Cs: 0.2500 0.2115 0.2288  5 Se 3.68-3.82
Se: 0.7500 0.8770 0.1406  1 Sc 2.58
Se: 0.2500 0.1230 0.8594  1 Sc 2.58
Ce: 0.7500 0.3339 0.8606  6 Se 2.93-3.13
Cs: 0.7500 0.7885 0.7712  5 Se 3.68-3.82
Ce: 0.2500 0.6661 0.1394  6 Se 2.93-3.13
Se: 0.2500 0.8091 0.4513  3 Sc 2.63-2.68
Sc: 0.2500 0.0888 0.6075  4 Se 2.58-2.68
Se: 0.2500 0.5287 0.8478  3 Ce 2.93-2.98
Se: 0.7500 0.1909 0.5487  3 Sc 2.63-2.68
Sc: 0.7500 0.9112 0.3925  4 Se 2.58-2.68

=====

no.,formation energy (no corrections) (eV per atom),DOS(E_F) (states/eV/atom),volume (Å³ per cell)
1,-0.9991,0.45,254.8
2,-1.5538,1.38,440.8